No. 1
K2Tl2PbCl6: relaxed, PBE-GGA.

Values from the calculation:
The total DFT energy (no corrections) comes out at -3.377 eV per atom. The total magnetization comes out at 0.000 μB per formula unit. The space-group type is No. 12.

Lattice parameters (Å, degrees): 7.7206 7.7206 7.8151 99.97 99.97 117.94
With the nearest neighbours (Å) after each atom.
Atoms (fractional coordinates):
Tl (0.8240, 0.1760, 0.0000)  6 Cl 3.23-3.31
Tl (0.1760, 0.8240, 0.0000)  6 Cl 3.23-3.31
Cl (0.9352, 0.6137, 0.2775)  1 Pb 2.94, 2 K 3.12-3.22, 1 Tl 3.25
Cl (0.3863, 0.0648, 0.7225)  1 Pb 2.94, 2 K 3.12-3.22, 1 Tl 3.25
Cl (0.7790, 0.7790, 0.7317)  1 Pb 2.92, 2 K 3.16, 2 Tl 3.23
Cl (0.6137, 0.9352, 0.2775)  1 Pb 2.94, 2 K 3.12-3.22, 1 Tl 3.25
Cl (0.2210, 0.2210, 0.2683)  1 Pb 2.92, 2 K 3.16, 2 Tl 3.23
Cl (0.0648, 0.3863, 0.7225)  1 Pb 2.94, 2 K 3.12-3.22, 1 Tl 3.25
K (0.6602, 0.3398, 0.5000)  6 Cl 3.12-3.22
K (0.3398, 0.6602, 0.5000)  6 Cl 3.12-3.22
Pb (0.0000, 0.0000, 0.5000)  6 Cl 2.92-2.94

---

No. 2
KUPb2Cl8: relaxed, PBE-GGA.

Values from the calculation:
The total DFT energy (no corrections) comes out at -4.345 eV per atom. The total magnetization comes out at 3.014 μB per formula unit. The space-group type is No. 10.

Lattice parameters (Å, degrees): 6.8907 6.6603 8.9807 90.00 90.00 89.36
With the nearest neighbours (Å) after each atom.
Atoms (fractional coordinates):
U (0.0000, 0.0000, 0.0000)  6 Cl 2.75-2.78
Cl (0.1626, 0.7696, 0.7771)  1 U 2.75, 1 Pb 2.94
Cl (0.6810, 0.7480, 0.0000)  1 U 2.78, 2 Pb 3.09
Cl (0.6444, 0.7194, 0.5000)  2 Pb 2.83, 1 K 3.10
Cl (0.8375, 0.2305, 0.7771)  1 U 2.75, 1 Pb 2.94
Cl (0.3556, 0.2806, 0.5000)  2 Pb 2.83, 1 K 3.10
Cl (0.8374, 0.2304, 0.2229)  1 U 2.75, 1 Pb 2.94
Cl (0.1625, 0.7695, 0.2229)  1 U 2.75, 1 Pb 2.94
Cl (0.3190, 0.2520, 0.0000)  1 U 2.78, 2 Pb 3.09
Pb (0.5000, 0.5000, 0.7455)  6 Cl 2.83-3.09
Pb (0.5000, 0.5000, 0.2545)  6 Cl 2.83-3.09
K (0.0000, 0.0000, 0.5000)  6 Cl 3.10-3.12

---

No. 3
K2VPbCl6: relaxed, PBE-GGA.

Values from the calculation:
The total DFT energy (no corrections) comes out at -4.072 eV per atom. The total magnetization comes out at 3.000 μB per formula unit. The space-group type is No. 2.

Lattice parameters (Å, degrees): 7.3955 7.4696 7.3430 118.94 120.98 90.21
With the nearest neighbours (Å) after each atom.
Atoms (fractional coordinates):
Cl (0.7162, 0.1820, 0.8939)  1 V 2.49
Cl (0.8190, 0.8386, 0.1194)  1 V 2.50
Cl (0.2427, 0.3290, 0.4557)  1 V 2.51
Cl (0.2836, 0.8187, 0.1056)  1 V 2.49
Cl (0.7575, 0.6718, 0.5440)  1 V 2.51
Cl (0.1809, 0.1625, 0.8805)  1 V 2.50
K (0.2641, 0.7742, 0.5105)  5 Cl 3.14-3.31
K (0.7351, 0.2264, 0.4889)  5 Cl 3.14-3.31
Pb (0.5000, 0.5004, 0.9998)  6 Cl 2.89-2.90
V (0.9999, 0.0004, 0.9998)  6 Cl 2.49-2.51

---

No. 4
KVPbCl2: relaxed, PBE-GGA.

Values from the calculation:
The total DFT energy (no corrections) comes out at -3.221 eV per atom. The total magnetization comes out at 4.035 μB per formula unit. The space-group type is No. 123.

Lattice parameters (Å, degrees): 5.6511 7.0233 5.6511 90.00 90.00 90.00
With the nearest neighbours (Å) after each atom.
Atoms (fractional coordinates):
K (0.0000, 0.5000, 0.0000)  2 Pb 3.51
Cl (0.5000, 0.0000, 0.0000)  2 Pb 2.83
Cl (0.0000, 0.0000, 0.5000)  2 Pb 2.83
Pb (0.0000, 0.0000, 0.0000)  4 Cl 2.83
V (0.5000, 0.5000, 0.5000)  4 K 4.00

---

No. 5
KYPbCl2: relaxed, PBE-GGA.

Values from the calculation:
The total DFT energy (no corrections) comes out at -3.001 eV per atom. The total magnetization comes out at 0.246 μB per formula unit. The space-group type is No. 123.

Lattice parameters (Å, degrees): 5.7733 6.8350 5.7733 90.00 90.00 90.00
With the nearest neighbours (Å) after each atom.
Atoms (fractional coordinates):
Pb (0.0000, 0.0000, 0.0000)  4 Cl 2.89
Cl (0.0000, 0.0000, 0.5000)  2 Pb 2.89
Cl (0.5000, 0.0000, 0.0000)  2 Pb 2.89
K (0.0000, 0.5000, 0.0000)  2 Pb 3.42
Y (0.5000, 0.5000, 0.5000)  4 K 4.08, 8 Cl 4.47

---

No. 6
KYPbCl6: relaxed, PBE-GGA.

Values from the calculation:
The total DFT energy (no corrections) comes out at -4.354 eV per atom. The total magnetization comes out at 0.000 μB per formula unit. The space-group type is No. 163.

Lattice parameters (Å, degrees): 7.3229 7.3229 13.3824 90.00 90.00 120.00
With the nearest neighbours (Å) after each atom.
Atoms (fractional coordinates):
Y (0.6667, 0.3333, 0.2500)  6 Cl 2.66
Y (0.3333, 0.6667, 0.7500)  6 Cl 2.66
Cl (0.3771, 0.3507, 0.3637)  1 Y 2.66, 1 Pb 2.92
Cl (0.3507, 0.3771, 0.8637)  1 Y 2.66, 1 Pb 2.92
Cl (0.3771, 0.0263, 0.1363)  1 Y 2.66, 1 Pb 2.92
Cl (0.0263, 0.3771, 0.6363)  1 Y 2.66, 1 Pb 2.92
Cl (0.6229, 0.6493, 0.6363)  1 Y 2.66, 1 Pb 2.92
Cl (0.6229, 0.9737, 0.8637)  1 Y 2.66, 1 Pb 2.92
Cl (0.9737, 0.6229, 0.3637)  1 Y 2.66, 1 Pb 2.92
Cl (0.6493, 0.6229, 0.1363)  1 Y 2.66, 1 Pb 2.92
Cl (0.6493, 0.0263, 0.3637)  1 Y 2.66, 1 Pb 2.92
Cl (0.3507, 0.9737, 0.6363)  1 Y 2.66, 1 Pb 2.92
Cl (0.0263, 0.6493, 0.8637)  1 Y 2.66, 1 Pb 2.92
Cl (0.9737, 0.3507, 0.1363)  1 Y 2.66, 1 Pb 2.92
Pb (0.3333, 0.6667, 0.2500)  6 Cl 2.92
Pb (0.6667, 0.3333, 0.7500)  6 Cl 2.92
K (0.0000, 0.0000, 0.5000)  6 Cl 3.23
K (0.0000, 0.0000, 0.0000)  6 Cl 3.23